a:
Entry from Alexandria via LeMat-Bulk: crystalline RbNaCdAg at its relaxed geometry (PBE).

Results
- Total moment: 0.0 μB per formula unit
- Space-group type: No. 8

POSCAR file:
```
RbNaCdAg
1.0
4.275 -2.511 0.000
4.275 2.511 0.000
-2.899 0.000 6.830
Rb Na Cd Ag
1 1 1 1
Cartesian
0.000 0.000 0.000
0.002 0.000 3.912
5.703 0.000 2.533
2.839 0.000 2.643
```

=====

b:
Entry from Alexandria via LeMat-Bulk: crystalline RbNaCdAg at its relaxed geometry (PBE).

Results
- Total moment: 0.0 μB per formula unit
- Space-group type: No. 216

POSCAR file:
```
RbNaCdAg
1.0
0.000 4.093 4.093
4.093 0.000 4.093
4.093 4.093 0.000
Rb Na Cd Ag
1 1 1 1
Cartesian
0.000 0.000 0.000
4.093 4.093 4.093
6.140 6.140 6.140
2.047 2.047 2.047
```

=====

The most stable structure shown above is a; the least stable is b.